(1)
# Sr2InCu2O6 | the Alexandria database | PBE-GGA | relaxed
data_Sr2InCu2O6
_symmetry_space_group_name_H-M 'R -3 m'
_symmetry_Int_Tables_number 166
_symmetry_space_group_name_Hall '-R 3 2"'
_cell_length_a 5.8566
_cell_length_b 5.8566
_cell_length_c 16.8798
_cell_angle_alpha 90.00
_cell_angle_beta 90.00
_cell_angle_gamma 120.00
loop_
_atom_site_label
_atom_site_type_symbol
_atom_site_fract_x
_atom_site_fract_y
_atom_site_fract_z
Sr1 Sr 0.0000 0.0000 0.2095
In1 In 0.0000 0.0000 0.0000
Cu1 Cu 0.0000 0.0000 0.4183
O1 O 0.0244 0.5122 0.7560
# M_tot	7.47	μB/cell
# final energy	-5.4551	eV/atom
# E_form (uncorrected)	-1.451	eV per atom
# volume	15.2	Å³ per atom

(2)
# Ca2PmHo | the Alexandria database | PBE-GGA | relaxed
data_Ca2PmHo
_symmetry_space_group_name_H-M 'P 4/m m m'
_symmetry_Int_Tables_number 123
_symmetry_space_group_name_Hall '-P 4 2'
_cell_length_a 4.154
_cell_length_b 4.154
_cell_length_c 8.334
_cell_angle_alpha 90.00
_cell_angle_beta 90.00
_cell_angle_gamma 90.00
loop_
_atom_site_label
_atom_site_type_symbol
_atom_site_fract_x
_atom_site_fract_y
_atom_site_fract_z
Ca1 Ca 0.000 0.000 0.245
Pm1 Pm 0.500 0.500 0.500
Ho1 Ho 0.500 0.500 0.000
# M_tot	0.00	μB/cell
# final energy	-3.1670	eV/atom
# offset from the most stable computed form	11.15	kJ per mole of atoms
# ΔE_f	0.664	eV per formula unit
# volume	36.0	Å³ per atom

(3)
# VReTeI2 | the Alexandria database | PBE-GGA | relaxed
data_VReTeI2
_symmetry_space_group_name_H-M 'P 4/m m m'
_symmetry_Int_Tables_number 123
_symmetry_space_group_name_Hall '-P 4 2'
_cell_length_a 5.576
_cell_length_b 5.576
_cell_length_c 5.287
_cell_angle_alpha 90.00
_cell_angle_beta 90.00
_cell_angle_gamma 90.00
loop_
_atom_site_label
_atom_site_type_symbol
_atom_site_fract_x
_atom_site_fract_y
_atom_site_fract_z
V1 V 0.000 0.000 0.000
Re1 Re 0.500 0.500 0.500
Te1 Te 0.000 0.000 0.500
I1 I 0.000 0.500 0.000
# M_tot	7.85	μB/cell
# final energy	-4.3404	eV/atom
# offset from the most stable computed form	0.00	kJ per mole of atoms
# E_form (uncorrected)	1.221	eV per atom
# volume	32.9	Å³ per atom

(4)
# LaTeP | the Alexandria database | PBE-GGA | relaxed
data_LaTeP
_symmetry_space_group_name_H-M 'P 3 m 1'
_symmetry_Int_Tables_number 156
_symmetry_space_group_name_Hall 'P 3 -2"'
_cell_length_a 4.8571
_cell_length_b 4.8571
_cell_length_c 4.3703
_cell_angle_alpha 90.00
_cell_angle_beta 90.00
_cell_angle_gamma 120.00
loop_
_atom_site_label
_atom_site_type_symbol
_atom_site_fract_x
_atom_site_fract_y
_atom_site_fract_z
La1 La 0.0000 0.0000 0.0000
Te1 Te 0.6667 0.3333 0.4993
P1 P 0.3333 0.6667 0.9986
# M_tot	0.00	μB/cell
# final energy	-5.1429	eV/atom
# E_form (uncorrected)	-0.650	eV per atom
# volume	29.8	Å³ per atom

(5)
# Ba3InI | the Alexandria database | PBE-GGA | relaxed
data_Ba3InI
_symmetry_space_group_name_H-M 'P m -3 m'
_symmetry_Int_Tables_number 221
_symmetry_space_group_name_Hall '-P 4 2 3'
_cell_length_a 6.761
_cell_length_b 6.761
_cell_length_c 6.761
_cell_angle_alpha 90.00
_cell_angle_beta 90.00
_cell_angle_gamma 90.00
loop_
_atom_site_label
_atom_site_type_symbol
_atom_site_fract_x
_atom_site_fract_y
_atom_site_fract_z
Ba1 Ba 0.000 0.000 0.500
In1 In 0.000 0.000 0.000
I1 I 0.500 0.500 0.500
# M_tot	0.00	μB/cell
# final energy	-2.4015	eV/atom
# offset from the most stable computed form	24.92	kJ per mole of atoms
# E_form (uncorrected)	-0.390	eV per atom
# volume	61.8	Å³ per atom

(6)
# BaVN2 | the Alexandria database | PBE-GGA | relaxed
data_BaVN2
_symmetry_space_group_name_H-M 'I -4 2 d'
_symmetry_Int_Tables_number 122
_symmetry_space_group_name_Hall 'I -4 2bw'
_cell_length_a 5.811
_cell_length_b 5.811
_cell_length_c 7.838
_cell_angle_alpha 90.00
_cell_angle_beta 90.00
_cell_angle_gamma 90.00
loop_
_atom_site_label
_atom_site_type_symbol
_atom_site_fract_x
_atom_site_fract_y
_atom_site_fract_z
Ba1 Ba 0.000 0.000 0.000
V1 V 0.000 0.000 0.500
N1 N 0.114 0.750 0.625
# M_tot	3.77	μB/cell
# final energy	-7.8026	eV/atom
# E_form (uncorrected)	-0.880	eV per atom
# volume	16.5	Å³ per atom

> Which formula does entry 2 have?

Ca2PmHo

> Which of these has the lowest final energy?

BaVN2

> Which of these has the highest volume?

Ba3InI

> M_tot of number 5 (Ba3InI)?

0.00 μB/cell